Below is an optimized crystal structure of NaHgWO4, with properties calculated at the GGA+U level.

```
NaHgWO4
1.0
5.9948 -3.2794 0.0000
5.9948 3.2794 0.0000
-1.3395 0.0000 7.3023
Na Hg W O
2 2 2 8
direct
0.2112 0.2112 0.3540 Na
0.7888 0.7888 0.6460 Na
0.3936 0.3936 0.0105 Hg
0.6064 0.6064 0.9895 Hg
0.1285 0.1285 0.7643 W
0.8715 0.8715 0.2357 W
0.0201 0.0201 0.2298 O
0.0546 0.6126 0.3556 O
0.2151 0.2151 0.0052 O
0.3874 0.9454 0.6444 O
0.6126 0.0546 0.3556 O
0.7849 0.7849 0.9948 O
0.9454 0.3874 0.6444 O
0.9799 0.9799 0.7702 O
```

## Properties
DOS(E_F) = 0.000 states/eV/f.u.
DFT total energy = -5.647 eV/atom
Symmetry = C2/m (12)